(1)
VASP calculation (GGA-PBE) on crystalline Tl3TcBr6 at its relaxed geometry.

Cell lengths 7.508, 8.310, 13.082 Å; angles 90.00, 122.63, 90.00 degrees
Fractional coordinates of all 20 atoms:
Tl 0.000 0.000 0.000
Tl 0.000 0.500 0.500
Tl 0.210 0.078 0.743
Tl 0.210 0.422 0.243
Tl 0.790 0.578 0.757
Tl 0.790 0.922 0.257
Tc 0.500 0.000 0.500
Tc 0.500 0.500 0.000
Br 0.175 0.159 0.460
Br 0.175 0.341 0.960
Br 0.282 0.739 0.434
Br 0.282 0.761 0.934
Br 0.398 0.048 0.281
Br 0.398 0.452 0.781
Br 0.602 0.548 0.219
Br 0.602 0.952 0.719
Br 0.718 0.239 0.066
Br 0.718 0.261 0.566
Br 0.825 0.659 0.040
Br 0.825 0.841 0.540

Summary:
The total magnetization comes out at 2.000 μB/f.u. The value obtained for the polymorph energy (0 for the lowest one) is 0.0 kJ/mol of atoms. As for the formation energy from raw total energies: -0.62 eV per atom. As for the density: 5.8 g/cm³. The raw total energy is -67.4 eV per cell.

---

(2)
VASP calculation (GGA-PBE) on crystalline DyPaNi2 at its relaxed geometry.

Cell lengths 7.340, 7.340, 7.340 Å; angles 29.10, 29.10, 29.10 degrees
Fractional coordinates of all 4 atoms:
Dy 0.000 0.000 0.000
Pa 0.500 0.500 0.500
Ni 0.242 0.242 0.242
Ni 0.758 0.758 0.758

Summary:
The total magnetization comes out at 0.000 μB/f.u. The value obtained for the formation energy is -1.02 eV/f.u. The value obtained for the polymorph energy (0 for the lowest one) is 10.1 kJ/mol of atoms. As for the density: 10.3 g/cm³. The raw total energy is -26.7 eV per cell.

---

(3)
VASP calculation (GGA-PBE) on crystalline Zn2TcCl at its relaxed geometry.

Cell lengths 10.016, 10.016, 10.016 Å; angles 16.48, 16.48, 16.48 degrees
Fractional coordinates of all 4 atoms:
Zn 0.000 0.000 0.000
Zn 0.251 0.251 0.251
Tc 0.512 0.512 0.512
Cl 0.784 0.784 0.784

Summary:
The total magnetization comes out at 0.000 μB/f.u. The value obtained for the polymorph energy (0 for the lowest one) is 10.2 kJ/mol of atoms. As for the formation energy from raw total energies: 0.15 eV per atom. As for the density: 6.2 g/cm³. The raw total energy is -14.2 eV per cell.

---

(4)
VASP calculation (GGA-PBE) on crystalline LiSn2Pb at its relaxed geometry.

Cell lengths 6.114, 6.114, 6.114 Å; angles 46.15, 46.15, 46.15 degrees
Fractional coordinates of all 4 atoms:
Li 0.000 0.000 0.000
Sn 0.413 0.413 0.413
Sn 0.631 0.631 0.631
Pb 0.189 0.189 0.189

Summary:
The total magnetization comes out at 0.000 μB/f.u. The value obtained for the formation energy is -0.21 eV/f.u. As for the density: 6.9 g/cm³. The raw total energy is -13.8 eV per cell.

---

(5)
VASP calculation (GGA-PBE) on crystalline PmInCl at its relaxed geometry.

Cell lengths 3.510, 3.607, 13.262 Å; angles 90.00, 97.45, 90.00 degrees
Fractional coordinates of all 6 atoms:
Pm 0.125 0.250 0.259
Pm 0.875 0.750 0.741
In 0.457 0.250 0.909
In 0.543 0.750 0.091
Cl 0.317 0.250 0.622
Cl 0.683 0.750 0.378

Summary:
The total magnetization comes out at 0.000 μB/f.u. As for the formation energy from raw total energies: -1.08 eV per atom. As for the density: 5.9 g/cm³. The raw total energy is -25.2 eV per cell.

---

(6)
VASP calculation (GGA-PBE) on crystalline GdTl2Cd at its relaxed geometry.

Cell lengths 3.758, 3.758, 7.597 Å; angles 90.00, 90.00, 90.00 degrees
Fractional coordinates of all 4 atoms:
Gd 0.000 0.000 0.000
Tl 0.500 0.500 0.266
Tl 0.500 0.500 0.734
Cd 0.000 0.000 0.500

Summary:
The total magnetization comes out at 7.706 μB/f.u. The value obtained for the formation energy is -0.55 eV/f.u. The value obtained for the polymorph energy (0 for the lowest one) is 12.6 kJ/mol of atoms. As for the density: 10.5 g/cm³. The raw total energy is -20.3 eV per cell.

---

(7)
VASP calculation (GGA-PBE) on crystalline GdThCuSn at its relaxed geometry.

Cell lengths 5.259, 5.259, 5.259 Å; angles 60.00, 60.00, 60.00 degrees
Fractional coordinates of all 4 atoms:
Gd 0.000 0.000 0.000
Th 0.500 0.500 0.500
Cu 0.750 0.750 0.750
Sn 0.250 0.250 0.250

Summary:
The total magnetization comes out at 7.287 μB/f.u. The value obtained for the formation energy is -1.19 eV/f.u. As for the density: 9.2 g/cm³. The raw total energy is -30.8 eV per cell.

---

(8)
VASP calculation (GGA-PBE) on crystalline NpGaSnPt at its relaxed geometry.

Cell lengths 4.887, 4.887, 4.887 Å; angles 60.00, 60.00, 60.00 degrees
Fractional coordinates of all 4 atoms:
Np 0.000 0.000 0.000
Ga 0.250 0.250 0.250
Sn 0.500 0.500 0.500
Pt 0.750 0.750 0.750

Summary:
The total magnetization comes out at 3.927 μB/f.u. The value obtained for the formation energy is -1.27 eV/f.u. As for the density: 12.5 g/cm³. The raw total energy is -27.3 eV per cell.